[1]
## KBaLa (PBE-GGA)

Data for a relaxed structure of KBaLa.

```
KBaLa
1.0
10.357 -0.005 0.000
8.799 5.462 0.000
-9.578 -2.728 2.842
Ba K La
1 1 1
Cartesian
0.295 0.084 0.000 Ba
6.251 1.781 0.000 K
12.610 3.592 0.000 La
```

The calculation puts the total energy at -0.0872 hartree per atom. Its space group is I4mm (107). The value obtained for the density of states at the Fermi level is 1.4790 states/eV per atom.

***

[2]
## GaTcSn2F (PBE-GGA)

Data for a relaxed structure of GaTcSn2F.

```
GaTcSn2F
1.0
5.365 0.000 0.000
0.000 3.855 0.000
0.000 0.000 5.365
F Sn Ga Tc
1 2 1 1
Cartesian
0.000 1.928 0.000 F
0.000 0.000 2.682 Sn
2.682 0.000 0.000 Sn
0.000 0.000 0.000 Ga
2.682 1.928 2.682 Tc
```

The calculation puts the total energy at -0.1629 hartree per atom. As for the formation energy (no corrections): 0.2201 eV/atom. Its space group is P4/mmm (123). The value obtained for the density of states at the Fermi level is 0.6440 states/eV per atom.

***

[3]
## CsPu2I7 (PBE-GGA)

Data for a relaxed structure of CsPu2I7.

```
CsPu2I7
1.0
-6.069 0.771 0.695
-0.210 -7.157 6.116
1.502 8.567 3.608
Cs Pu I
1 2 7
Cartesian
0.000 0.000 0.000 Cs
-2.723 -1.981 5.700 Pu
-2.054 4.163 4.720 Pu
0.302 -2.452 5.366 I
0.990 3.863 4.359 I
-2.554 2.843 1.817 I
-2.223 -0.661 8.602 I
-3.031 -1.543 2.516 I
-1.745 3.725 7.903 I
-2.388 1.091 5.210 I
```

The calculation puts the total energy at -0.1897 hartree per atom. As for the formation energy (no corrections): -1.1265 eV/atom. Its space group is Cmmm (65). The value obtained for the density of states at the Fermi level is 2.9272 states/eV per atom.

***

[4]
## PuZnTe (PBE-GGA)

Data for a relaxed structure of PuZnTe.

```
PuZnTe
1.0
-4.145 1.641 0.961
-1.566 -3.583 -0.638
0.360 -3.770 7.993
Zn Te Pu
2 2 2
Cartesian
-3.837 -0.657 0.804 Zn
-1.515 -5.056 7.512 Zn
-3.479 -1.276 3.405 Te
-1.872 -4.436 4.910 Te
-3.029 -2.054 6.672 Pu
-2.322 -3.659 1.643 Pu
```

The calculation puts the total energy at -0.2503 hartree per atom. As for the formation energy (no corrections): -0.5606 eV/atom. Its space group is Cmcm (63). The value obtained for the density of states at the Fermi level is 3.8151 states/eV per atom.